# 1
# HfPaPd2, relaxed, DFT PBE
# Formation energy from the elements = -0.33 eV per atom
# Energy relative to the lowest polymorph listed for this composition = 4.32 kcal/mol of atoms
# Final energy = -7.79 eV per atom
data_HfPaPd2
_chemical_formula_sum 'Hf3 Pa3 Pd6'
_symmetry_space_group_name_H-M 'R -3 m'
_symmetry_Int_Tables_number 166
_symmetry_space_group_name_Hall '-R 3 2"'
_cell_length_a 3.1376
_cell_length_b 3.1376
_cell_length_c 28.0127
_cell_angle_alpha 90.00
_cell_angle_beta 90.00
_cell_angle_gamma 120.00
loop_
_atom_site_label
_atom_site_fract_x
_atom_site_fract_y
_atom_site_fract_z
_atom_site_occupancy
Hf1 0.0000 0.0000 0.0000 1
Pa1 0.0000 0.0000 0.5000 1
Pd1 0.0000 0.0000 0.2583 1

=====

# 2
# GdDyAs2, relaxed, DFT PBE
# Formation energy from the elements = -1.54 eV per atom
# Final energy = -8.53 eV per atom
data_GdDyAs2
_chemical_formula_sum 'Gd3 Dy3 As6'
_symmetry_space_group_name_H-M 'R -3 m'
_symmetry_Int_Tables_number 166
_symmetry_space_group_name_Hall '-R 3 2"'
_cell_length_a 4.1445
_cell_length_b 4.1445
_cell_length_c 20.2897
_cell_angle_alpha 90.00
_cell_angle_beta 90.00
_cell_angle_gamma 120.00
loop_
_atom_site_label
_atom_site_fract_x
_atom_site_fract_y
_atom_site_fract_z
_atom_site_occupancy
Gd1 0.0000 0.0000 0.0000 1
Dy1 0.0000 0.0000 0.5000 1
As1 0.0000 0.0000 0.2492 1

=====

# 3
# Li2NiPdN, relaxed, DFT PBE
# Raw formation energy = -261 meV/atom
# Final energy = -4.89 eV per atom
data_Li2NiPdN
_chemical_formula_sum 'Li2 Ni1 Pd1 N1'
_symmetry_space_group_name_H-M 'P 4/m m m'
_symmetry_Int_Tables_number 123
_symmetry_space_group_name_Hall '-P 4 2'
_cell_length_a 4.018
_cell_length_b 4.018
_cell_length_c 3.521
_cell_angle_alpha 90.00
_cell_angle_beta 90.00
_cell_angle_gamma 90.00
loop_
_atom_site_label
_atom_site_fract_x
_atom_site_fract_y
_atom_site_fract_z
_atom_site_occupancy
Li1 0.000 0.500 0.000 1
Ni1 0.000 0.000 0.500 1
Pd1 0.500 0.500 0.500 1
N1 0.000 0.000 0.000 1